# 1
First-principles (PBE) data for SnAsPdO after structural relaxation, as listed in OQMD via LeMat-Bulk.

Cell lengths 3.4605, 6.7713, 6.8061 Å; angles 90.00, 90.00, 90.00 degrees
With the nearest neighbours (Å) after each atom.
Space group Pmc2_1 (No. 26)
Symmetry-distinct sites (fractional):
Sn 0.0000 0.1776 0.0000 [2 per cell]  2 O 2.09
As 0.0000 0.2050 0.3999 [2 per cell]  2 Pd 2.37
Pd 0.5000 0.3135 0.6118 [2 per cell]  1 O 2.30, 2 As 2.37
O 0.5000 0.3429 0.9486 [2 per cell]  2 Sn 2.09, 1 Pd 2.30

## Properties
Offset from the most stable computed form (meV/atom): 282
Total DFT energy (no corrections) (eV/atom): -5.09

***

# 2
First-principles (PBE) data for SnAsPdO after structural relaxation, as listed in OQMD via LeMat-Bulk.

Cell lengths 4.3652, 4.3652, 8.2102 Å; angles 90.00, 90.00, 90.00 degrees
With the nearest neighbours (Å) after each atom.
Space group P4/nmm (No. 129, origin choice 2)
Symmetry-distinct sites (fractional):
Sn 0.2500 0.7500 0.0000 [2 per cell]  4 As 2.86, 4 Sn 3.09
As 0.2500 0.2500 0.2248 [2 per cell]  1 Pd 2.52
Pd 0.2500 0.2500 0.5314 [2 per cell]  4 O 2.20
O 0.2500 0.7500 0.5000 [2 per cell]  4 Pd 2.20

## Properties
Offset from the most stable computed form (meV/atom): 769
Total DFT energy (no corrections) (eV/atom): -4.60

***

# 3
First-principles (PBE) data for TaAsPdO after structural relaxation, as listed in OQMD via LeMat-Bulk.

Cell lengths 4.9556, 4.9556, 4.7654 Å; angles 90.00, 90.00, 90.00 degrees
With the nearest neighbours (Å) after each atom.
Space group P4/nmm (No. 129, origin choice 2)
Symmetry-distinct sites (fractional):
Ta 0.2500 0.7500 0.0000 [2 per cell]  2 O 2.38, 4 As 2.61
As 0.2500 0.2500 0.1707 [2 per cell]  2 Pd 2.38-2.39, 4 Ta 2.61
Pd 0.2500 0.2500 0.6716 [2 per cell]  2 As 2.38-2.39, 4 O 2.61
O 0.2500 0.7500 0.5000 [2 per cell]  2 Ta 2.38, 4 Pd 2.61

## Properties
Spin magnetization (μB per cell): 0.00
Offset from the most stable computed form (meV/atom): 556
Total DFT energy (no corrections) (eV/atom): -7.06

***

# 4
First-principles (PBE) data for TaAsPdO after structural relaxation, as listed in OQMD via LeMat-Bulk.

Cell lengths 3.6425, 3.6425, 8.3818 Å; angles 90.00, 90.00, 90.00 degrees
With the nearest neighbours (Å) after each atom.
Space group P4/nmm (No. 129, origin choice 2)
Symmetry-distinct sites (fractional):
Ta 0.2500 0.2500 0.1544 [2 per cell]  4 O 2.23
As 0.2500 0.2500 0.7193 [2 per cell]  4 Pd 2.59, 4 Ta 2.78
Pd 0.2500 0.7500 0.5000 [2 per cell]  4 Pd 2.58, 4 As 2.59
O 0.2500 0.7500 0.0000 [2 per cell]  4 Ta 2.23

## Properties
Spin magnetization (μB per cell): 0.00
Offset from the most stable computed form (meV/atom): 99
Total DFT energy (no corrections) (eV/atom): -7.52

***

# 5
First-principles (PBE) data for TaAsPdO after structural relaxation, as listed in OQMD via LeMat-Bulk.

Cell lengths 3.5525, 5.9176, 7.0051 Å; angles 90.00, 90.00, 90.00 degrees
With the nearest neighbours (Å) after each atom.
Space group Pmc2_1 (No. 26)
Symmetry-distinct sites (fractional):
Ta 0.0000 0.0445 0.0000 [2 per cell]  2 O 1.88-2.06
As 0.5000 0.3082 0.8460 [2 per cell]  2 Pd 2.41-2.57, 2 Ta 2.60
Pd 0.5000 0.2992 0.5025 [2 per cell]  2 As 2.41-2.57, 2 O 2.65
O 0.0000 0.1468 0.2537 [2 per cell]  2 Ta 1.88-2.06

## Properties
Spin magnetization (μB per cell): 0.01
Offset from the most stable computed form (meV/atom): 113
Total DFT energy (no corrections) (eV/atom): -7.50

***

# 6
First-principles (PBE) data for TaAsPdO after structural relaxation, as listed in OQMD via LeMat-Bulk.

Cell lengths 4.2334, 4.2334, 6.8264 Å; angles 90.00, 90.00, 90.00 degrees
With the nearest neighbours (Å) after each atom.
Space group P4/nmm (No. 129, origin choice 2)
Symmetry-distinct sites (fractional):
Ta 0.2500 0.7500 0.0000 [2 per cell]  4 As 2.57
As 0.2500 0.2500 0.2138 [2 per cell]  1 Pd 2.52, 4 Ta 2.57
Pd 0.2500 0.2500 0.5831 [2 per cell]  4 O 2.19
O 0.2500 0.7500 0.5000 [2 per cell]  4 Pd 2.19

## Properties
Spin magnetization (μB per cell): 0.00
Offset from the most stable computed form (meV/atom): 914
Total DFT energy (no corrections) (eV/atom): -6.70

***

Question: Among the records above, which one has the highest total DFT energy (no corrections)?
Answer: number 2